Below is crystalline Na2PmCl4 at its relaxed geometry, with properties calculated at the GGA-PBE level.

Values from the calculation:
The total DFT energy (no corrections) comes out at -0.1455 hartree per atom.

a = 7.287 Å, b = 8.424 Å, c = 8.424 Å
α = 61.20°, β = 64.37°, γ = 64.37°
Last column: magnetic moment on the atom in μB.
Positions (direct):
Cl: 0.281 0.723 0.223  0.00
Cl: 0.773 0.723 0.223  0.00
Pm: 0.500 0.500 0.000  0.11
Na: 0.128 0.122 0.622  0.00
Na: 0.500 0.500 0.500  0.00
Na: 0.500 0.000 0.000  0.00
Cl: 0.270 0.739 0.722  0.00
Cl: 0.730 0.778 0.761  0.00
Na: 0.872 0.878 0.378  0.00
Cl: 0.730 0.261 0.278  0.00
Pm: 0.000 0.500 0.000  0.11
Cl: 0.270 0.222 0.239  0.00
Cl: 0.227 0.277 0.777  0.00
Cl: 0.719 0.277 0.777  0.00